! BeAuF2, PBEsol geometry, DFT meta-GGA SCAN; values from VASP
! energy relative to the elements, uncorrected: -9.06 eV per formula unit
! SG: C2/m
&SYSTEM
  ibrav = 0, nat = 8, ntyp = 3
/
ATOMIC_SPECIES
Be 9.01 Be.upf
Au 196.97 Au.upf
F 19.00 F.upf
ATOMIC_POSITIONS angstrom
Be 0.000 0.000 0.000
Be 2.293 1.324 0.000
Au -0.757 1.324 4.359
Au 1.536 0.000 4.359
F -0.748 1.324 7.832
F 1.528 0.000 0.886
F 1.544 0.000 7.832
F 3.820 1.324 0.886
CELL_PARAMETERS angstrom
4.585 0.000 0.000
0.000 2.648 0.000
-1.513 0.000 8.717

! TlCd2As, PBEsol geometry, DFT meta-GGA SCAN; values from VASP
! excess energy over the best structure of this formula in the dataset: 0.134 eV/atom
! energy of formation from the pure elements: 0.2103 eV/atom
! SG: R-3m
&SYSTEM
  ibrav = 0, nat = 12, ntyp = 3
/
ATOMIC_SPECIES
Tl 204.38 Tl.upf
Cd 112.41 Cd.upf
As 74.92 As.upf
ATOMIC_POSITIONS angstrom
Tl 0.000 0.000 0.000
Tl 0.000 1.850 20.109
Tl 1.602 0.925 10.055
Cd 0.000 0.000 7.368
Cd 0.000 0.000 22.796
Cd 0.000 1.850 12.741
Cd 0.000 1.850 27.478
Cd 1.602 0.925 2.686
Cd 1.602 0.925 17.423
As 0.000 0.000 15.082
As 0.000 1.850 5.027
As 1.602 0.925 25.137
CELL_PARAMETERS angstrom
3.205 0.000 0.000
-1.602 2.775 0.000
0.000 0.000 30.164

! Re3SiS, PBEsol geometry, DFT meta-GGA SCAN; values from VASP
! energy relative to the elements, uncorrected: 6.88 eV per formula unit
! SG: Pm-3m
&SYSTEM
  ibrav = 0, nat = 5, ntyp = 3
/
ATOMIC_SPECIES
Re 186.21 Re.upf
Si 28.09 Si.upf
S 32.06 S.upf
ATOMIC_POSITIONS angstrom
Re 0.000 0.000 2.150
Re 0.000 2.150 0.000
Re 2.150 0.000 0.000
Si 2.150 2.150 2.150
S 0.000 0.000 0.000
CELL_PARAMETERS angstrom
4.300 0.000 0.000
0.000 4.300 0.000
0.000 0.000 4.300

| no. | calculated total energy (Ry per atom) |
| --- | --- |
| 1 | -1.6474 |
| 2 | -2.8028 |
| 3 | -3.3230 |